{"formula": "LaDyYEr3", "functional": "PBE", "state": "relaxed", "cell": [[9.764, -2.816, 0.000], [9.764, 2.816, 0.000], [-0.115, 0.000, 7.108]], "species": ["La", "La", "Dy", "Dy", "Y", "Y", "Er", "Er", "Er", "Er", "Er", "Er"], "fractional_positions": [[0.144, 0.144, 0.030], [0.856, 0.856, 0.970], [0.150, 0.150, 0.453], [0.850, 0.850, 0.547], [0.449, 0.449, 0.727], [0.551, 0.551, 0.273], [0.024, 0.024, 0.729], [0.279, 0.279, 0.759], [0.337, 0.337, 0.276], [0.663, 0.663, 0.724], [0.721, 0.721, 0.241], [0.976, 0.976, 0.271]], "total_energy_ev_per_fu": -28.4, "mass_density_g_cm3": 7.6, "formation_energy_ev_per_atom": 0.21, "dos_at_fermi_per_ev_cell": 19.399, "spacegroup": "C2/m"}